A relaxed structure of PbWO6, computed with PBE with a Hubbard U.

Computed properties:
* magnetization: 0.253 μB/atom
* E: -5.996 eV per atom
* calculated density: 5969 kg/m³

abc: 5.7651 5.7651 5.7651
angles: 60.00 60.00 60.00
Closest atoms and distances in Å follow each position.
Element x y z (fractional)
O 0.2356 0.7644 0.7644  1 W 1.92
O 0.2356 0.2356 0.7644  1 W 1.92
O 0.7644 0.2356 0.2356  1 W 1.92
O 0.7644 0.7644 0.2356  1 W 1.92
O 0.2356 0.7644 0.2356  1 W 1.92
O 0.7644 0.2356 0.7644  1 W 1.92
W 0.0000 0.0000 0.0000  6 O 1.92
Pb 0.5000 0.5000 0.5000  6 O 2.16